A relaxed Y2ScCu crystal. Source: Alexandria via LeMat-Bulk, functional PBE-GGA.

a b c (Å): 6.2994 6.2994 5.1633
angles (deg): 65.82 65.82 32.53
Closest atoms and distances in Å follow each position.
Element x y z (fractional)
Y 0.0013 0.0013 0.9987  4 Cu 3.13, 2 Sc 3.40, 2 Y 3.45-3.46
Y 0.2111 0.2111 0.2888  2 Cu 3.01, 4 Sc 3.27
Sc 0.7993 0.7993 0.7006  2 Cu 2.72
Cu 0.4882 0.4882 0.5120  2 Sc 2.72, 2 Y 3.01

Computed properties:
VASP energy (eV/atom): -5.92
Crystal system: orthorhombic
Space group: Imm2 (44)

A relaxed Y2ScCu crystal. Source: Alexandria via LeMat-Bulk, functional PBE-GGA.

a b c (Å): 5.1804 5.1796 3.6550
angles (deg): 90.00 90.00 90.00
Closest atoms and distances in Å follow each position.
Element x y z (fractional)
Cu 0.5000 0.0000 0.5000  8 Y 3.17
Sc 0.0000 0.5000 0.5000  8 Y 3.17
Y 0.0000 0.0000 0.0000  4 Sc 3.17, 4 Cu 3.17
Y 0.5000 0.5000 0.0000  4 Cu 3.17, 4 Sc 3.17

Computed properties:
VASP energy (eV/atom): -5.78
Crystal system: tetragonal
Space group: P4/mmm (123)

A relaxed YScCu2 crystal. Source: Alexandria via LeMat-Bulk, functional PBE-GGA.

a b c (Å): 4.6485 4.6485 4.6485
angles (deg): 60.00 60.00 60.00
Closest atoms and distances in Å follow each position.
Element x y z (fractional)
Cu 0.0000 0.0000 0.0000  4 Cu 2.85, 4 Y 2.85
Cu 0.2500 0.2500 0.2500  4 Cu 2.85, 4 Sc 2.85
Sc 0.5000 0.5000 0.5000  4 Y 2.85, 4 Cu 2.85
Y 0.7500 0.7500 0.7500  4 Sc 2.85, 4 Cu 2.85

Computed properties:
VASP energy (eV/atom): -5.23
Crystal system: cubic
Space group: F-43m (216)

A relaxed YScCu2 crystal. Source: Alexandria via LeMat-Bulk, functional PBE-GGA.

a b c (Å): 5.3506 5.3506 4.8342
angles (deg): 74.28 74.28 35.67
Closest atoms and distances in Å follow each position.
Element x y z (fractional)
Cu 0.0263 0.0263 0.0066  2 Cu 2.65, 2 Sc 2.83, 1 Y 2.87
Cu 0.7250 0.7250 0.7284  2 Cu 2.65, 1 Sc 2.82, 4 Y 2.94-2.96
Sc 0.4807 0.4807 0.5656  7 Cu 2.82-3.08
Y 0.2680 0.2680 0.1994  7 Cu 2.87-3.01, 2 Sc 3.16-3.21

Computed properties:
VASP energy (eV/atom): -5.35
Crystal system: monoclinic
Space group: Cm (8)

A relaxed YSc2Cu crystal. Source: Alexandria via LeMat-Bulk, functional PBE-GGA.

a b c (Å): 6.0715 6.4186 9.5056
angles (deg): 90.00 90.00 90.00
Closest atoms and distances in Å follow each position.
Element x y z (fractional)
Y 0.6214 0.5020 0.2500  2 Cu 2.83-2.85
Y 0.8786 0.0020 0.2500  2 Cu 2.83-2.85
Y 0.3786 0.4980 0.7500  2 Cu 2.83-2.85
Y 0.1214 0.9980 0.7500  2 Cu 2.83-2.85
Sc 0.1841 0.6785 0.0508  2 Cu 2.66-2.79
Sc 0.3159 0.1785 0.4492  2 Cu 2.66-2.79
Sc 0.8159 0.3215 0.5508  2 Cu 2.66-2.79
Sc 0.6841 0.8215 0.9492  2 Cu 2.66-2.79
Sc 0.8159 0.3215 0.9492  2 Cu 2.66-2.79
Sc 0.6841 0.8215 0.5508  2 Cu 2.66-2.79
Sc 0.1841 0.6785 0.4492  2 Cu 2.66-2.79
Sc 0.3159 0.1785 0.0508  2 Cu 2.66-2.79
Cu 0.0768 0.4047 0.2500  4 Sc 2.66-2.79, 2 Y 2.83-2.85
Cu 0.4232 0.9047 0.2500  4 Sc 2.66-2.79, 2 Y 2.83-2.85
Cu 0.9232 0.5953 0.7500  4 Sc 2.66-2.79, 2 Y 2.83-2.85
Cu 0.5768 0.0953 0.7500  4 Sc 2.66-2.79, 2 Y 2.83-2.85

Computed properties:
VASP energy (eV/atom): -5.92
Crystal system: orthorhombic
Space group: Pnma (62)

A relaxed YScCu3 crystal. Source: Alexandria via LeMat-Bulk, functional PBE-GGA.

a b c (Å): 4.7296 4.7296 4.7296
angles (deg): 90.00 90.00 90.00
Closest atoms and distances in Å follow each position.
Element x y z (fractional)
Y 0.5000 0.5000 0.5000  12 Cu 3.34
Sc 0.0000 0.0000 0.0000  6 Cu 2.36
Cu 0.0000 0.5000 0.0000  2 Sc 2.36
Cu 0.0000 0.0000 0.5000  2 Sc 2.36
Cu 0.5000 0.0000 0.0000  2 Sc 2.36

Computed properties:
VASP energy (eV/atom): -4.58
Crystal system: cubic
Space group: Pm-3m (221)

A relaxed Y2ScCu crystal. Source: Alexandria via LeMat-Bulk, functional PBE-GGA.

a b c (Å): 5.1678 5.1678 5.1678
angles (deg): 60.00 60.00 60.00
Closest atoms and distances in Å follow each position.
Element x y z (fractional)
Cu 0.5000 0.5000 0.5000  4 Sc 3.16, 4 Y 3.16
Sc 0.7500 0.7500 0.7500  4 Y 3.16, 4 Cu 3.16
Y 0.0000 0.0000 0.0000  4 Sc 3.16, 4 Y 3.16
Y 0.2500 0.2500 0.2500  4 Y 3.16, 4 Cu 3.16

Computed properties:
VASP energy (eV/atom): -5.61
Crystal system: cubic
Space group: F-43m (216)

A relaxed YSc2Cu crystal. Source: Alexandria via LeMat-Bulk, functional PBE-GGA.

a b c (Å): 3.7714 4.8821 4.9178
angles (deg): 90.00 90.00 90.00
Closest atoms and distances in Å follow each position.
Element x y z (fractional)
Cu 0.0000 0.5000 0.5000  4 Y 3.08, 4 Sc 3.10
Sc 0.0000 0.0000 0.0000  4 Sc 3.08, 4 Y 3.10
Sc 0.5000 0.5000 0.0000  4 Sc 3.08, 4 Cu 3.10
Y 0.5000 0.0000 0.5000  4 Cu 3.08, 4 Sc 3.10

Computed properties:
VASP energy (eV/atom): -5.73
Crystal system: orthorhombic
Space group: Pmmm (47)

A relaxed YScCu crystal. Source: Alexandria via LeMat-Bulk, functional PBE-GGA.

a b c (Å): 4.7015 4.7015 4.7015
angles (deg): 60.00 60.00 60.00
Closest atoms and distances in Å follow each position.
Element x y z (fractional)
Cu 0.7500 0.7500 0.7500  4 Sc 2.88, 4 Y 2.88
Sc 0.0000 0.0000 0.0000  4 Cu 2.88
Y 0.5000 0.5000 0.5000  4 Cu 2.88

Computed properties:
VASP energy (eV/atom): -5.56
Crystal system: cubic
Space group: F-43m (216)

A relaxed YSc2Cu crystal. Source: Alexandria via LeMat-Bulk, functional PBE-GGA.

a b c (Å): 4.3350 3.6497 6.1918
angles (deg): 72.74 90.00 90.00
Closest atoms and distances in Å follow each position.
Element x y z (fractional)
Cu 0.5000 0.9464 0.7269  3 Sc 2.71-2.97, 2 Y 3.02
Sc 0.0000 0.8138 0.0006  2 Cu 2.71
Sc 0.5000 0.2011 0.2251  1 Cu 2.97, 4 Sc 3.13
Y 0.0000 0.5387 0.5474  4 Cu 3.02-3.03, 3 Sc 3.23-3.25

Computed properties:
VASP energy (eV/atom): -5.79
Crystal system: monoclinic
Space group: Pm (6)

A relaxed YSc2Cu2 crystal. Source: Alexandria via LeMat-Bulk, functional PBE-GGA.

a b c (Å): 4.6984 4.6984 6.0697
angles (deg): 67.23 67.23 90.00
Closest atoms and distances in Å follow each position.
Element x y z (fractional)
Y 0.0000 0.0000 0.0000  8 Cu 3.46, 10 Sc 3.57-3.65
Sc 0.3518 0.3518 0.2964  4 Cu 2.57
Sc 0.6482 0.6482 0.7036  4 Cu 2.57
Cu 0.7500 0.2500 0.5000  4 Sc 2.57
Cu 0.2500 0.7500 0.5000  4 Sc 2.57

Computed properties:
VASP energy (eV/atom): -5.37
Crystal system: tetragonal
Space group: I4/mmm (139)

A relaxed YSc5Cu4 crystal. Source: Alexandria via LeMat-Bulk, functional PBE-GGA.

a b c (Å): 3.2693 3.2693 18.1719
angles (deg): 90.00 90.00 90.00
Closest atoms and distances in Å follow each position.
Element x y z (fractional)
Y 0.0000 0.0000 0.0000  4 Y 3.27, 8 Sc 3.45
Sc 0.5000 0.5000 0.1412  4 Cu 2.81
Sc 0.5000 0.5000 0.3197  8 Cu 2.83-2.85
Sc 0.5000 0.5000 0.5000  8 Cu 2.82
Sc 0.5000 0.5000 0.6803  8 Cu 2.83-2.85
Sc 0.5000 0.5000 0.8588  4 Cu 2.81
Cu 0.0000 0.0000 0.2295  8 Sc 2.81-2.83
Cu 0.0000 0.0000 0.4110  8 Sc 2.82-2.85
Cu 0.0000 0.0000 0.5890  8 Sc 2.82-2.85
Cu 0.0000 0.0000 0.7705  8 Sc 2.81-2.83

Computed properties:
VASP energy (eV/atom): -5.65
Crystal system: tetragonal
Space group: P4/mmm (123)

A relaxed YScCu3 crystal. Source: Alexandria via LeMat-Bulk, functional PBE-GGA.

a b c (Å): 3.4577 4.2615 12.5329
angles (deg): 90.00 97.93 90.00
Closest atoms and distances in Å follow each position.
Element x y z (fractional)
Y 0.9246 0.7500 0.8492  12 Cu 2.99-3.09
Y 0.0754 0.2500 0.1508  12 Cu 2.99-3.09
Sc 0.2082 0.7500 0.4164  7 Cu 2.72-2.84
Sc 0.7918 0.2500 0.5836  7 Cu 2.72-2.84
Cu 0.6235 0.7500 0.2470  3 Cu 2.46-2.53, 2 Sc 2.72
Cu 0.3765 0.2500 0.7530  3 Cu 2.46-2.53, 2 Sc 2.72
Cu 0.5245 0.7500 0.0489  3 Cu 2.45-2.46
Cu 0.4755 0.2500 0.9511  3 Cu 2.45-2.46
Cu 0.6787 0.2500 0.3574  2 Cu 2.53, 1 Sc 2.81
Cu 0.3213 0.7500 0.6426  2 Cu 2.53, 1 Sc 2.81

Computed properties:
VASP energy (eV/atom): -5.26
Crystal system: orthorhombic
Space group: Cmcm (63)

V / Å³/cell: 99.65 98.07 71.03 77.37 370.44 105.80 97.59 90.55 73.48 93.55 112.13 194.23 182.91
E_form / eV per formula unit: -0.3 0.2 0.1 -0.4 -0.4 2.2 0.9 0.3 0.2 0.1 0.5 -2.0 -1.2
Density / g cm⁻³: 4.77 4.85 6.10 5.60 4.35 5.09 4.87 4.44 4.46 4.30 4.53 4.85 5.89